Below is a relaxed structure of Al2NiP, with properties calculated at the GGA-PBEsol level.

Lattice parameters (Å, degrees): 3.612 3.990 4.525 116.16 113.53 90.00
Atoms (fractional coordinates):
Al: 0.750 0.750 0.500
P: 0.500 0.000 0.000
Ni: 0.000 0.500 0.000
Al: 0.250 0.250 0.500

Summary:
Formation energy   -0.141 eV/atom
Space-group type   Immm (71)

***

Below is a relaxed structure of Al2NiP, with properties calculated at the GGA-PBEsol level.

Lattice parameters (Å, degrees): 2.971 2.971 7.555 78.66 78.66 60.00
Atoms (fractional coordinates):
Al: 0.993 0.993 0.020
Ni: 0.508 0.508 0.477
P: 0.241 0.241 0.278
Al: 0.758 0.758 0.725

Summary:
Formation energy   -0.158 eV/atom
Space-group type   R3m (160)

***

Below is a relaxed structure of AlNi2P, with properties calculated at the GGA-PBEsol level.

Lattice parameters (Å, degrees): 2.761 4.005 4.516 100.13 90.00 110.16
Atoms (fractional coordinates):
P: 0.000 0.000 0.500
Ni: 0.747 0.493 0.737
Al: 0.500 0.000 0.000
Ni: 0.253 0.507 0.263

Summary:
Excess energy over the best structure of this formula in the dataset   0.000 eV per atom
Formation energy   -0.401 eV/atom
Space-group type   C2/m (12)

***

Below is a relaxed structure of Al2NiP, with properties calculated at the GGA-PBEsol level.

Lattice parameters (Å, degrees): 2.744 2.744 7.085 90.00 90.00 90.00
Atoms (fractional coordinates):
P: 0.500 0.500 0.500
Al: 0.000 0.000 0.218
Ni: 0.500 0.500 0.000
Al: 0.000 0.000 0.782

Summary:
Formation energy   -0.210 eV/atom
Space-group type   P4/mmm (123)

***

Below is a relaxed structure of Al2NiP, with properties calculated at the GGA-PBEsol level.

Lattice parameters (Å, degrees): 3.494 3.644 4.636 90.00 112.13 90.00
Atoms (fractional coordinates):
Al: 0.981 0.000 0.962
Ni: 0.701 0.000 0.401
P: 0.552 0.500 0.104
Al: 0.274 0.500 0.547

Summary:
Formation energy   -0.435 eV/atom
Space-group type   Amm2 (38)

***

Below is a relaxed structure of Al2NiP, with properties calculated at the GGA-PBEsol level.

Lattice parameters (Å, degrees): 2.790 4.433 4.433 107.84 90.00 90.00
Atoms (fractional coordinates):
Al: 0.000 0.500 0.000
P: 0.500 0.500 0.500
Ni: 0.500 0.000 0.000
Al: 0.000 0.000 0.500

Summary:
Formation energy   -0.195 eV/atom
Space-group type   Cmmm (65)

***

Below is a relaxed structure of AlNi2P, with properties calculated at the GGA-PBEsol level.

Lattice parameters (Å, degrees): 4.048 4.048 4.048 60.00 60.00 60.00
Atoms (fractional coordinates):
Al: 0.500 0.500 0.500
Ni: 0.000 0.000 0.000
Ni: 0.250 0.250 0.250
P: 0.750 0.750 0.750

Summary:
Excess energy over the best structure of this formula in the dataset   0.291 eV per atom
Formation energy   -0.110 eV/atom
Space-group type   F-43m (216)

***

Below is a relaxed structure of AlNiP, with properties calculated at the GGA-PBEsol level.

Lattice parameters (Å, degrees): 3.837 3.837 3.837 60.00 60.00 60.00
Atoms (fractional coordinates):
P: 0.000 0.000 0.000
Ni: 0.250 0.250 0.250
Al: 0.500 0.500 0.500

Summary:
Formation energy   -0.562 eV/atom
Space-group type   F-43m (216)

***

Below is a relaxed structure of AlNi2PRu, with properties calculated at the GGA-PBEsol level.

Lattice parameters (Å, degrees): 4.291 4.512 4.512 90.00 90.00 90.00
Atoms (fractional coordinates):
Ni: 0.000 0.000 0.500
Ru: 0.000 0.000 0.000
Ni: 0.000 0.500 0.000
P: 0.500 0.000 0.000
Al: 0.500 0.500 0.500

Summary:
Formation energy   0.874 eV/atom
Space-group type   P4/mmm (123)

***

Below is a relaxed structure of AlNiP2S, with properties calculated at the GGA-PBEsol level.

Lattice parameters (Å, degrees): 4.460 4.520 4.520 90.00 90.00 90.00
Atoms (fractional coordinates):
Al: 0.000 0.000 0.000
S: 0.500 0.000 0.000
P: 0.000 0.500 0.000
P: 0.000 0.000 0.500
Ni: 0.500 0.500 0.500

Summary:
Space-group type   P4/mmm (123)
Formation energy without anion corrections   0.911 eV/atom

***

Below is a relaxed structure of AlNiTe2P, with properties calculated at the GGA-PBEsol level.

Lattice parameters (Å, degrees): 4.022 5.257 5.257 90.00 90.00 90.00
Atoms (fractional coordinates):
Te: 0.000 0.000 0.500
Te: 0.000 0.500 0.000
P: 0.500 0.000 0.000
Al: 0.500 0.500 0.500
Ni: 0.000 0.000 0.000

Summary:
Space-group type   P4/mmm (123)
Formation energy without anion corrections   0.258 eV/atom

***

Below is a relaxed structure of AlNi2Pb, with properties calculated at the GGA-PBEsol level.

Lattice parameters (Å, degrees): 4.383 4.339 4.339 59.02 59.66 59.66
Atoms (fractional coordinates):
Ni: 0.742 0.258 0.258
Ni: 0.258 0.742 0.742
Al: 0.500 0.000 0.000
Pb: 0.000 0.500 0.500

Summary:
Excess energy over the best structure of this formula in the dataset   0.000 eV per atom
Formation energy   -0.018 eV/atom
Space-group type   Immm (71)

***

The records above yield D(E_F) values of 1.7 1.6 1.6 1.8 0.6 1.7 2.1 0.4 6.5 4.0 2.9 1.4 states/eV per cell, respectively.